[1]
Computed, not measured: a relaxed structure of TlSb2Rh at the PBE-GGA level of DFT.

**Relative energy among the computed polymorphs**: 235 meV/atom

Cell lengths 3.607, 3.607, 7.680 Å; angles 90.00, 90.00, 90.00 degrees
Positions (direct):
Tl 0.000 0.000 0.522
Sb 0.000 0.000 0.943
Sb 0.500 0.500 0.203
Rh 0.500 0.500 0.833

---

[2]
Computed, not measured: a relaxed structure of TbZnFeC at the PBE-GGA level of DFT.

**VASP energy**: -6.0476 eV/atom

Cell lengths 3.460, 3.460, 10.150 Å; angles 90.00, 90.00, 90.00 degrees
Positions (direct):
Tb 0.750 0.750 0.226
Tb 0.250 0.250 0.774
Zn 0.250 0.750 0.500
Zn 0.750 0.250 0.500
Fe 0.750 0.250 0.000
Fe 0.250 0.750 0.000
C 0.750 0.750 0.905
C 0.250 0.250 0.095

---

[3]
Computed, not measured: a relaxed structure of Y3Mg2Sn at the PBE-GGA level of DFT.

**VASP energy**: -4.7839 eV/atom

Cell lengths 5.325, 5.325, 6.522 Å; angles 90.00, 90.00, 120.00 degrees
Positions (direct):
Y 0.000 0.000 0.500
Y 0.667 0.333 0.839
Y 0.333 0.667 0.161
Mg 0.667 0.333 0.355
Mg 0.333 0.667 0.645
Sn 0.000 0.000 0.000

---

[4]
Computed, not measured: a relaxed structure of HfAlAg at the PBE-GGA level of DFT.

**VASP energy**: -5.6787 eV/atom

Cell lengths 7.747, 3.207, 5.875 Å; angles 105.85, 54.73, 90.01 degrees
Positions (direct):
Hf 0.427 0.543 0.661
Hf 0.747 0.754 0.081
Al 0.052 0.282 0.139
Al 0.415 0.276 0.126
Ag 0.777 0.008 0.588
Ag 0.140 0.004 0.582

---

[5]
Computed, not measured: a relaxed structure of Tl2ZnP4H8O16 at the PBE-GGA level of DFT.

**VASP energy**: -5.9407 eV/atom

Cell lengths 7.120, 7.544, 7.735 Å; angles 98.23, 106.51, 88.19 degrees
Positions (direct):
Tl 0.875 0.282 0.800
Tl 0.125 0.718 0.200
Zn 0.500 0.500 0.000
P 0.666 0.739 0.742
P 0.334 0.261 0.258
P 0.258 0.799 0.747
P 0.742 0.201 0.253
H 0.739 0.962 0.976
H 0.261 0.038 0.024
H 0.375 0.309 0.647
H 0.625 0.691 0.353
H 0.945 0.735 0.584
H 0.055 0.265 0.416
H 0.385 0.176 0.792
H 0.615 0.824 0.208
O 0.444 0.287 0.773
O 0.556 0.713 0.227
O 0.692 0.608 0.879
O 0.308 0.392 0.121
O 0.754 0.928 0.843
O 0.246 0.072 0.157
O 0.748 0.684 0.582
O 0.252 0.316 0.418
O 0.434 0.767 0.651
O 0.566 0.233 0.349
O 0.263 0.659 0.871
O 0.737 0.341 0.129
O 0.080 0.770 0.570
O 0.920 0.230 0.430
O 0.273 0.993 0.840
O 0.727 0.007 0.160

---

[6]
Computed, not measured: a relaxed structure of RbMnCr2B at the PBE-GGA level of DFT.

**VASP energy**: -4.2889 eV/atom

Cell lengths 5.380, 4.816, 5.380 Å; angles 90.00, 90.00, 90.00 degrees
Positions (direct):
Cr 0.000 0.000 0.500
Cr 0.500 0.000 0.000
B 0.000 0.500 0.000
Mn 0.500 0.500 0.500
Rb 0.000 0.000 0.000

---

[7]
Computed, not measured: a relaxed structure of Dy2Er5Co4 at the PBE-GGA level of DFT.

**VASP energy**: -5.4587 eV/atom

Cell lengths 6.394, 6.721, 7.675 Å; angles 75.97, 65.38, 61.60 degrees
Positions (direct):
Dy 0.282 0.805 0.632
Dy 0.718 0.195 0.368
Er 0.188 0.250 0.888
Er 0.812 0.750 0.112
Er 0.000 0.500 0.500
Er 0.674 0.250 0.888
Er 0.326 0.750 0.112
Co 0.322 0.051 0.305
Co 0.678 0.949 0.695
Co 0.778 0.603 0.840
Co 0.222 0.397 0.160

---

[8]
Computed, not measured: a relaxed structure of Dy2Ho2Ga3 at the PBE-GGA level of DFT.

**VASP energy**: -4.3805 eV/atom

Cell lengths 3.583, 7.827, 7.199 Å; angles 116.34, 75.54, 90.03 degrees
Positions (direct):
Dy 0.677 0.721 0.646
Dy 0.323 0.279 0.354
Ho 0.615 0.200 0.768
Ho 0.385 0.800 0.232
Ga 0.000 0.000 0.000
Ga 0.916 0.466 0.167
Ga 0.084 0.534 0.833

---

Total moment: 0.0, 0.0, 0.0, 0.0, 0.0, 13.8, 0.0, 0.0 (μB/f.u.)